Below is a relaxed structure of Pr2ZrS5, with properties calculated at the PBE level.

abc: 11.616 8.099 7.406
angles: 90.00 90.00 90.00
Positions (direct):
Pr 0.175 0.001 0.043
Pr 0.175 0.499 0.043
Pr 0.325 0.501 0.543
Pr 0.325 0.999 0.543
Pr 0.675 0.001 0.457
Pr 0.675 0.499 0.457
Pr 0.825 0.501 0.957
Pr 0.825 0.999 0.957
Zr 0.009 0.750 0.575
Zr 0.491 0.250 0.075
Zr 0.509 0.750 0.925
Zr 0.991 0.250 0.425
S 0.004 0.750 0.944
S 0.082 0.036 0.670
S 0.082 0.464 0.670
S 0.187 0.750 0.348
S 0.207 0.250 0.328
S 0.293 0.750 0.828
S 0.313 0.250 0.848
S 0.418 0.536 0.170
S 0.418 0.964 0.170
S 0.496 0.250 0.444
S 0.504 0.750 0.556
S 0.582 0.036 0.830
S 0.582 0.464 0.830
S 0.687 0.750 0.152
S 0.707 0.250 0.172
S 0.793 0.750 0.672
S 0.813 0.250 0.652
S 0.918 0.536 0.330
S 0.918 0.964 0.330
S 0.996 0.250 0.056

The value obtained for the total energy is -215.54 eV per cell.


Below is a relaxed structure of KHfTePdSeS, with properties calculated at the PBE level.

abc: 8.526 3.753 10.316
angles: 90.00 112.39 90.00
Positions (direct):
K 0.238 0.250 0.235
K 0.762 0.750 0.765
Hf 0.318 0.750 0.847
Hf 0.682 0.250 0.153
Te 0.270 0.750 0.550
Te 0.730 0.250 0.450
Pd 0.092 0.250 0.616
Pd 0.908 0.750 0.384
Se 0.106 0.250 0.868
Se 0.894 0.750 0.132
S 0.460 0.750 0.121
S 0.540 0.250 0.879

The distance to the lowest polymorph of the same formula is 0.00 eV per formula unit.


Below is a relaxed structure of BaNiS2, with properties calculated at the PBE level.

abc: 4.422 4.432 8.970
angles: 90.00 90.00 90.00
Positions (direct):
Ba 0.250 0.250 0.198
Ba 0.750 0.750 0.802
Ni 0.250 0.250 0.585
Ni 0.750 0.750 0.415
S 0.250 0.250 0.843
S 0.250 0.750 0.501
S 0.750 0.250 0.499
S 0.750 0.750 0.157

The value obtained for the total energy is -41.04 eV per cell.


Below is a relaxed structure of Re3AgGe5, with properties calculated at the PBE level.

abc: 5.178 5.178 7.583
angles: 90.00 90.00 120.00
Positions (direct):
Re 0.000 0.500 0.000
Re 0.500 0.000 0.000
Re 0.500 0.500 0.000
Ag 0.000 0.000 0.500
Ge 0.000 0.000 0.000
Ge 0.333 0.667 0.305
Ge 0.333 0.667 0.695
Ge 0.667 0.333 0.305
Ge 0.667 0.333 0.695

The value obtained for the total energy is -59.67 eV per cell.